(1)
NiRhSe4 | GGA-PBE | optimized geometry

Cell and atoms, written as extended XYZ:
```
6
Lattice="0.000 3.893 3.893 3.893 0.000 3.893 3.893 3.893 0.000" Properties=species:S:1:pos:R:3 pbc="T T T"
Ni 0.000 0.000 0.000
Rh 5.839 5.839 5.839
Se 2.920 2.920 2.920
Se 4.866 4.866 2.920
Se 4.866 2.920 4.866
Se 2.920 4.866 4.866
```

Values from the calculation:
- volume (A^3/atom) = 19.667
- ΔE to the lowest computed polymorph (kJ/mol of formula units) = 816
- energy (eV for the cell shown) = -20.61

=====

(2)
Ni2RhSe | GGA-PBE | optimized geometry

Cell and atoms, written as extended XYZ:
```
4
Lattice="3.140 0.000 0.000 0.000 3.140 0.000 0.000 0.000 5.370" Properties=species:S:1:pos:R:3 pbc="T T T"
Ni 0.000 0.000 0.000
Ni 1.570 1.570 1.181
Rh 0.000 0.000 2.595
Se 1.570 1.570 4.139
```

Values from the calculation:
- volume (A^3/atom) = 13.235
- ΔE to the lowest computed polymorph (kJ/mol of formula units) = 0
- energy (eV for the cell shown) = -22.11